Entry 1:
SiMoSe2 after structural relaxation, computed with PBE.

Results
* E: -5.97 eV per atom
* magnetization: 0.00 μB per cell
* theoretical density: 5.40 g/cm³

abc: 3.5868 3.4374 7.0274
angles: 90.00 90.26 90.00
Space group Pm (No. 6)
Symmetry-distinct sites (fractional):
Si1 0.0000 0.0000 0.0000 x1
Mo1 0.4997 0.5000 0.9655 x1
Se1 0.0021 0.5000 0.2577 x1
Se2 0.4976 0.0000 0.6871 x1

***

Entry 2:
Cu2IrPb after structural relaxation, computed with PBE.

Results
* E: -4.81 eV per atom
* magnetization: 0.00 μB per cell
* theoretical density: 13.21 g/cm³
* ΔH_f (0 K): 36.8 kJ per mole of atoms

abc: 9.1104 3.1392 4.7564
angles: 90.00 103.25 90.00
Space group C2/m (No. 12)
Symmetry-distinct sites (fractional):
Cu1 0.2400 0.0000 0.2044 x4
Ir1 0.0000 0.5000 0.0000 x2
Pb1 0.0000 0.0000 0.5000 x2

***

Entry 3:
Cs2RbGd after structural relaxation, computed with PBE.

Results
* E: -3.69 eV per atom
* magnetization: 25.41 μB per cell
* theoretical density: 3.03 g/cm³
* ΔH_f (0 K): 47.8 kJ per mole of atoms

abc: 4.3350 4.3350 51.4250
angles: 90.00 90.00 120.00
Space group R-3m (No. 166, hexagonal axes)
Symmetry-distinct sites (fractional):
Cs1 0.0000 0.0000 0.0781 x6
Rb1 0.0000 0.0000 0.5000 x3
Gd1 0.0000 0.0000 0.0000 x3

***

Entry 4:
KPr2Pb3S6 after structural relaxation, computed with PBE.

Results
* E: -5.02 eV per atom
* magnetization: 0.01 μB per cell
* theoretical density: 5.62 g/cm³

abc: 18.3311 4.1118 9.1090
angles: 90.00 102.40 90.00
Space group C2/m (No. 12)
Symmetry-distinct sites (fractional):
K1 0.0000 0.0000 0.0000 x2
Pr1 0.1664 0.5000 0.3299 x4
Pb1 0.0000 0.0000 0.5000 x2
Pb2 0.1602 0.5000 0.8317 x4
S1 0.0105 0.5000 0.2702 x4
S2 0.1694 0.0000 0.5545 x4
S3 0.1797 0.0000 0.1175 x4

***

Entry 5:
LiNd2Mg4 after structural relaxation, computed with PBE.

Results
* E: -2.36 eV per atom
* magnetization: 0.00 μB per cell
* theoretical density: 3.20 g/cm³
* ΔH_f (0 K): 18.4 kJ per mole of atoms

abc: 5.3185 5.3185 24.9146
angles: 90.00 90.00 120.00
Space group R-3m (No. 166, hexagonal axes)
Symmetry-distinct sites (fractional):
Li1 0.0000 0.0000 0.0000 x3
Nd1 0.0000 0.0000 0.2541 x6
Mg1 0.0000 0.0000 0.1232 x6
Mg2 0.0000 0.0000 0.3812 x6

***

Entry 6:
CrPd3Rh6 after structural relaxation, computed with PBE.

Results
* E: -6.73 eV per atom
* magnetization: 0.00 μB per cell
* theoretical density: 10.91 g/cm³
* ΔH_f (0 K): 19.3 kJ per mole of atoms

abc: 5.0413 5.0413 6.8368
angles: 90.00 90.00 120.00
Space group P-31m (No. 162)
Symmetry-distinct sites (fractional):
Cr1 0.0000 0.0000 0.0000 x1
Pd1 0.0000 0.0000 0.5000 x1
Pd2 0.3333 0.6667 0.5000 x2
Rh1 0.0000 0.3901 0.8208 x6

***

Entry 7:
Tm3Mo after structural relaxation, computed with PBE.

Results
* E: -5.81 eV per atom
* magnetization: 0.00 μB per cell
* theoretical density: 9.77 g/cm³
* ΔH_f (0 K): 24.2 kJ per mole of atoms

abc: 3.9231 9.4662 5.5180
angles: 90.00 90.00 90.00
Space group Imm2 (No. 44)
Symmetry-distinct sites (fractional):
Tm1 0.0000 0.0000 0.0000 x2
Tm2 0.0000 0.2124 0.5128 x4
Mo1 0.0000 0.5000 0.8949 x2

***

Entry 8:
Ba2MnRh after structural relaxation, computed with PBE.

Results
* E: -4.60 eV per atom
* magnetization: 8.57 μB per cell
* theoretical density: 6.16 g/cm³
* ΔH_f (0 K): 47.6 kJ per mole of atoms

abc: 4.7201 4.7201 10.4619
angles: 90.00 90.00 90.00
Space group I-4m2 (No. 119)
Symmetry-distinct sites (fractional):
Ba1 0.0000 0.0000 0.0000 x2
Ba2 0.0000 0.5000 0.2500 x2
Mn1 0.0000 0.5000 0.7500 x2
Rh1 0.0000 0.0000 0.5000 x2

***

Entry 9:
SrHfTeN2 after structural relaxation, computed with PBE.

Results
* E: -4.82 eV per atom
* magnetization: 0.00 μB per cell
* theoretical density: 6.19 g/cm³

abc: 4.3548 4.3548 5.9655
angles: 90.00 90.00 90.00
Space group P4/mmm (No. 123)
Symmetry-distinct sites (fractional):
Sr1 0.0000 0.0000 0.0000 x1
Hf1 0.5000 0.5000 0.5000 x1
Te1 0.0000 0.0000 0.5000 x1
N1 0.0000 0.5000 0.0000 x2